a) VASP calculation (PBE) on an optimized crystal structure of Sm4DyTh.

Summary:
ρ = 6.92 g cm⁻³
Size of the total moment = 0.00 μB/cell

Unit cell a=11.663 b=11.920 c=3.440 alpha=90.00 beta=90.00 gamma=90.00
Space group Cmmm (No. 65)
One atom of each set of equivalent atoms:
Sm 0.000 0.233 0.000
Sm 0.237 0.500 0.500
Dy 0.000 0.000 0.500
Th 0.000 0.500 0.000

---

b) VASP calculation (PBE) on an optimized crystal structure of Sm4DyTh.

Summary:
ρ = 8.30 g cm⁻³
Size of the total moment = 0.00 μB/cell

Unit cell a=11.417 b=5.121 c=7.183 alpha=90.00 beta=108.46 gamma=90.00
Space group C2/m (No. 12)
One atom of each set of equivalent atoms:
Sm 0.163 0.000 0.327
Sm 0.165 0.000 0.837
Dy 0.000 0.500 0.500
Th 0.000 0.500 0.000

---

The least stable of them is a).

---

a) VASP calculation (PBE) on an optimized crystal structure of Sm2Dy4Th.

Summary:
ρ = 8.55 g cm⁻³
Size of the total moment = 0.00 μB/cell

Unit cell a=3.5566 b=3.5566 c=62.8917 alpha=90.00 beta=90.00 gamma=120.00
Space group R-3m (No. 166, hexagonal axes)
One atom of each set of equivalent atoms:
Sm 0.0000 0.0000 0.2350
Dy 0.0000 0.0000 0.1435
Dy 0.0000 0.0000 0.2893
Th 0.0000 0.0000 0.0000

---

b) VASP calculation (PBE) on an optimized crystal structure of Sm2Dy4Th.

Summary:
ρ = 8.64 g cm⁻³
Size of the total moment = 0.00 μB/cell

Unit cell a=6.243 b=3.606 c=20.308 alpha=90.00 beta=95.93 gamma=90.00
Space group Cm (No. 8)
One atom of each set of equivalent atoms:
Sm 0.000 0.000 0.000
Sm 0.094 0.000 0.286
Dy 0.286 0.000 0.856
Dy 0.308 0.500 0.430
Dy 0.381 0.000 0.144
Dy 0.404 0.500 0.716
Th 0.190 0.000 0.573

---

The least stable of them is a).